1.
The following is a PBE-GGA calculation of a relaxed NiSb2Cl crystal, from the Alexandria database.

abc: 4.5985 4.6058 7.8751
angles: 90.00 90.00 90.00
Atoms (fractional coordinates):
1 Ni 0.0000 0.0000 0.0000
2 Ni 0.5000 0.5000 0.0000
3 Sb 0.0000 0.5000 0.2036
4 Sb 0.0000 0.5000 0.7964
5 Sb 0.5000 0.0000 0.2036
6 Sb 0.5000 0.0000 0.7964
7 Cl 0.0000 0.0000 0.5000
8 Cl 0.5000 0.5000 0.5000

Calculated values
formation energy (no corrections)	-0.129	eV per atom
polymorph energy (0 for the lowest one)	0.69	eV per formula unit


2.
The following is a PBE-GGA calculation of a relaxed CsGaP3HO10 crystal, from the Alexandria database.

abc: 6.3728 6.3728 6.3008
angles: 105.53 105.53 88.00
Atoms (fractional coordinates):
1 Cs 0.0000 0.0000 0.0000
2 Ga 0.6617 0.3383 0.5000
3 P 0.1987 0.4368 0.6054
4 P 0.5632 0.8013 0.3946
5 P 0.5649 0.4350 0.0000
6 H 0.2527 0.7473 0.5000
7 O 0.1938 0.6846 0.6401
8 O 0.3126 0.4019 0.8618
9 O 0.3154 0.8062 0.3599
10 O 0.3408 0.3247 0.4504
11 O 0.5981 0.6874 0.1382
12 O 0.6057 0.2903 0.1606
13 O 0.6753 0.6592 0.5496
14 O 0.6790 0.0220 0.4643
15 O 0.7097 0.3943 0.8394
16 O 0.9780 0.3210 0.5357

Calculated values
E_tot	-6.660	eV per atom


3.
The following is a PBE-GGA calculation of a relaxed Sr6Ag2HgN crystal, from the Alexandria database.

abc: 7.5397 8.2968 12.8541
angles: 90.00 122.11 90.00
Atoms (fractional coordinates):
1 Sr 0.0884 0.0376 0.2245
2 Sr 0.0884 0.4624 0.7245
3 Sr 0.2015 0.7133 0.0616
4 Sr 0.2015 0.7867 0.5616
5 Sr 0.3507 0.1565 0.0564
6 Sr 0.3507 0.3435 0.5564
7 Sr 0.6493 0.6565 0.4436
8 Sr 0.6493 0.8435 0.9436
9 Sr 0.7985 0.2133 0.4384
10 Sr 0.7985 0.2867 0.9384
11 Sr 0.9116 0.5376 0.2755
12 Sr 0.9116 0.9624 0.7755
13 Ag 0.3046 0.1048 0.7565
14 Ag 0.3046 0.3952 0.2565
15 Ag 0.6954 0.6048 0.7435
16 Ag 0.6954 0.8952 0.2435
17 Hg 0.5000 0.0000 0.5000
18 Hg 0.5000 0.5000 0.0000
19 N 0.0000 0.0000 0.0000
20 N 0.0000 0.5000 0.5000

Calculated values
formation energy (no corrections)	-0.354	eV per atom


4.
The following is a PBE-GGA calculation of a relaxed Li2ZrTl2 crystal, from the Alexandria database.

abc: 8.0204 8.0204 3.0847
angles: 90.00 90.00 90.00
Atoms (fractional coordinates):
1 Li 0.1157 0.3843 0.0000
2 Li 0.3843 0.8843 0.0000
3 Li 0.6157 0.1157 0.0000
4 Li 0.8843 0.6157 0.0000
5 Zr 0.0000 0.0000 0.0000
6 Zr 0.5000 0.5000 0.0000
7 Tl 0.1844 0.6844 0.5000
8 Tl 0.3156 0.1844 0.5000
9 Tl 0.6844 0.8156 0.5000
10 Tl 0.8156 0.3156 0.5000

Calculated values
energy relative to the elements	-0.09	eV per atom
polymorph energy (0 for the lowest one)	0.00	eV per formula unit


5.
The following is a PBE-GGA calculation of a relaxed Cs2ZnHgPt crystal, from the Alexandria database.

abc: 6.7510 6.7510 4.8779
angles: 90.00 90.00 90.00
Atoms (fractional coordinates):
1 Cs 0.0000 0.5000 0.0000
2 Cs 0.5000 0.0000 0.0000
3 Zn 0.0000 0.0000 0.5000
4 Hg 0.5000 0.5000 0.5000
5 Pt 0.0000 0.0000 0.0000

Calculated values
energy relative to the elements	-0.12	eV per atom


6.
The following is a PBE-GGA calculation of a relaxed GdZn2Pd crystal, from the Alexandria database.

abc: 3.3417 3.3417 6.6627
angles: 90.00 90.00 90.00
Atoms (fractional coordinates):
1 Gd 0.0000 0.0000 0.0000
2 Zn 0.5000 0.5000 0.3035
3 Zn 0.5000 0.5000 0.6965
4 Pd 0.0000 0.0000 0.5000

Calculated values
energy relative to the elements	-0.43	eV per atom


7.
The following is a PBE-GGA calculation of a relaxed LaV2Ga crystal, from the Alexandria database.

abc: 7.7272 7.7272 5.9339
angles: 90.00 90.00 90.00
Atoms (fractional coordinates):
1 La 0.0000 0.0000 0.0000
2 La 0.0000 0.5000 0.2500
3 La 0.5000 0.0000 0.7500
4 La 0.5000 0.5000 0.5000
5 V 0.1949 0.2500 0.6250
6 V 0.2500 0.6949 0.8750
7 V 0.2500 0.8051 0.3750
8 V 0.3051 0.2500 0.1250
9 V 0.6949 0.7500 0.1250
10 V 0.7500 0.1949 0.3750
11 V 0.7500 0.3051 0.8750
12 V 0.8051 0.7500 0.6250
13 Ga 0.0000 0.0000 0.5000
14 Ga 0.0000 0.5000 0.7500
15 Ga 0.5000 0.0000 0.2500
16 Ga 0.5000 0.5000 0.0000

Calculated values
energy relative to the elements	0.64	eV per atom


8.
The following is a PBE-GGA calculation of a relaxed CdBr3 crystal, from the Alexandria database.

abc: 4.7718 4.7718 4.7718
angles: 90.00 90.00 90.00
Atoms (fractional coordinates):
1 Cd 0.0000 0.0000 0.0000
2 Br 0.0000 0.5000 0.5000
3 Br 0.5000 0.0000 0.5000
4 Br 0.5000 0.5000 0.0000

Calculated values
formation energy (no corrections)	0.149	eV per atom


9.
The following is a PBE-GGA calculation of a relaxed Ir2RuAu crystal, from the Alexandria database.

abc: 2.7826 2.7826 27.2723
angles: 90.00 90.00 120.00
Atoms (fractional coordinates):
1 Ir 0.0000 0.0000 0.2444
2 Ir 0.0000 0.0000 0.7556
3 Ir 0.3333 0.6667 0.4222
4 Ir 0.3333 0.6667 0.9111
5 Ir 0.6667 0.3333 0.0889
6 Ir 0.6667 0.3333 0.5778
7 Ru 0.0000 0.0000 0.5000
8 Ru 0.3333 0.6667 0.1667
9 Ru 0.6667 0.3333 0.8333
10 Au 0.0000 0.0000 0.0000
11 Au 0.3333 0.6667 0.6667
12 Au 0.6667 0.3333 0.3333

Calculated values
energy relative to the elements	0.18	eV per atom
polymorph energy (0 for the lowest one)	0.09	eV per formula unit


10.
The following is a PBE-GGA calculation of a relaxed CaPb2 crystal, from the Alexandria database.

abc: 12.4473 3.6965 8.3542
angles: 90.00 103.99 90.00
Atoms (fractional coordinates):
1 Ca 0.0000 0.0000 0.0000
2 Ca 0.2003 0.5000 0.3758
3 Ca 0.5000 0.5000 0.0000
4 Ca 0.7003 0.0000 0.3758
5 Pb 0.1462 0.5000 0.7570
6 Pb 0.2896 0.0000 0.0925
7 Pb 0.3645 0.0000 0.6727
8 Pb 0.4761 0.5000 0.4038
9 Pb 0.6462 0.0000 0.7570
10 Pb 0.7896 0.5000 0.0925
11 Pb 0.8645 0.5000 0.6727
12 Pb 0.9761 0.0000 0.4038

Calculated values
energy relative to the elements	-0.29	eV per atom


11.
The following is a PBE-GGA calculation of a relaxed CrPt3Au crystal, from the Alexandria database.

abc: 4.5820 4.5820 4.5820
angles: 90.00 90.00 90.00
Atoms (fractional coordinates):
1 Cr 0.0000 0.0000 0.0000
2 Pt 0.0000 0.0000 0.5000
3 Pt 0.0000 0.5000 0.0000
4 Pt 0.5000 0.0000 0.0000
5 Au 0.5000 0.5000 0.5000

Calculated values
energy relative to the elements	0.95	eV per atom
polymorph energy (0 for the lowest one)	0.00	eV per formula unit


12.
The following is a PBE-GGA calculation of a relaxed KTl3Sn2 crystal, from the Alexandria database.

abc: 9.8053 9.8053 8.5412
angles: 110.89 110.89 31.28
Atoms (fractional coordinates):
1 K 0.1317 0.1317 0.1606
2 K 0.8683 0.8683 0.8394
3 Tl 0.0400 0.0400 0.6901
4 Tl 0.3193 0.3193 0.0941
5 Tl 0.3328 0.3328 0.5270
6 Tl 0.6672 0.6672 0.4730
7 Tl 0.6807 0.6807 0.9059
8 Tl 0.9600 0.9600 0.3099
9 Sn 0.2060 0.2060 0.7042
10 Sn 0.4975 0.4975 0.1704
11 Sn 0.5025 0.5025 0.8296
12 Sn 0.7940 0.7940 0.2958

Calculated values
energy relative to the elements	-0.07	eV per atom
polymorph energy (0 for the lowest one)	0.00	eV per formula unit


13.
The following is a PBE-GGA calculation of a relaxed TbTm2Cd crystal, from the Alexandria database.

abc: 7.6264 7.6264 7.6264
angles: 90.00 90.00 90.00
Atoms (fractional coordinates):
1 Tb 0.0000 0.0000 0.0000
2 Tb 0.0000 0.5000 0.5000
3 Tb 0.5000 0.0000 0.5000
4 Tb 0.5000 0.5000 0.0000
5 Tm 0.2500 0.2500 0.2500
6 Tm 0.2500 0.2500 0.7500
7 Tm 0.2500 0.7500 0.2500
8 Tm 0.2500 0.7500 0.7500
9 Tm 0.7500 0.2500 0.2500
10 Tm 0.7500 0.2500 0.7500
11 Tm 0.7500 0.7500 0.2500
12 Tm 0.7500 0.7500 0.7500
13 Cd 0.0000 0.0000 0.5000
14 Cd 0.0000 0.5000 0.0000
15 Cd 0.5000 0.0000 0.0000
16 Cd 0.5000 0.5000 0.5000

Calculated values
energy relative to the elements	0.01	eV per atom
polymorph energy (0 for the lowest one)	0.64	eV per formula unit


14.
The following is a PBE-GGA calculation of a relaxed CaZnSiO4 crystal, from the Alexandria database.

abc: 5.4771 5.4771 6.3201
angles: 90.00 90.00 113.09
Atoms (fractional coordinates):
1 Ca 0.0000 0.0000 0.0000
2 Ca 0.0000 0.0000 0.5000
3 Zn 0.3422 0.6578 0.7500
4 Zn 0.6578 0.3422 0.2500
5 Si 0.3608 0.6392 0.2500
6 Si 0.6392 0.3608 0.7500
7 O 0.2571 0.7429 0.0365
8 O 0.2571 0.7429 0.4635
9 O 0.2603 0.3092 0.2500
10 O 0.3092 0.2603 0.7500
11 O 0.6908 0.7397 0.2500
12 O 0.7397 0.6908 0.7500
13 O 0.7429 0.2571 0.5365
14 O 0.7429 0.2571 0.9635

Calculated values
formation energy (no corrections)	-2.515	eV per atom


15.
The following is a PBE-GGA calculation of a relaxed DyTiSnHg crystal, from the Alexandria database.

abc: 7.1619 7.1619 7.1619
angles: 90.00 90.00 90.00
Atoms (fractional coordinates):
1 Dy 0.0000 0.0000 0.0000
2 Dy 0.0000 0.5000 0.5000
3 Dy 0.5000 0.0000 0.5000
4 Dy 0.5000 0.5000 0.0000
5 Ti 0.0000 0.0000 0.5000
6 Ti 0.0000 0.5000 0.0000
7 Ti 0.5000 0.0000 0.0000
8 Ti 0.5000 0.5000 0.5000
9 Sn 0.2500 0.2500 0.7500
10 Sn 0.2500 0.7500 0.2500
11 Sn 0.7500 0.2500 0.2500
12 Sn 0.7500 0.7500 0.7500
13 Hg 0.2500 0.2500 0.2500
14 Hg 0.2500 0.7500 0.7500
15 Hg 0.7500 0.2500 0.7500
16 Hg 0.7500 0.7500 0.2500

Calculated values
energy relative to the elements	-0.26	eV per atom


16.
The following is a PBE-GGA calculation of a relaxed GaHg2WSe crystal, from the Alexandria database.

abc: 5.4707 5.4707 4.7420
angles: 90.00 90.00 90.00
Atoms (fractional coordinates):
1 Ga 0.0000 0.0000 0.0000
2 Hg 0.0000 0.5000 0.5000
3 Hg 0.5000 0.0000 0.5000
4 W 0.5000 0.5000 0.5000
5 Se 0.5000 0.5000 0.0000

Calculated values
formation energy (no corrections)	0.519	eV per atom


17.
The following is a PBE-GGA calculation of a relaxed ZrTeIrPt2 crystal, from the Alexandria database.

abc: 4.8892 4.8892 4.8304
angles: 90.00 90.00 90.00
Atoms (fractional coordinates):
1 Zr 0.0000 0.0000 0.0000
2 Te 0.5000 0.5000 0.5000
3 Ir 0.5000 0.5000 0.0000
4 Pt 0.0000 0.5000 0.5000
5 Pt 0.5000 0.0000 0.5000

Calculated values
formation energy (no corrections)	0.733	eV per atom


18.
The following is a PBE-GGA calculation of a relaxed LaZrH3 crystal, from the Alexandria database.

abc: 4.2436 4.2436 4.2436
angles: 90.00 90.00 90.00
Atoms (fractional coordinates):
1 La 0.0000 0.0000 0.0000
2 Zr 0.5000 0.5000 0.5000
3 H 0.0000 0.0000 0.5000
4 H 0.0000 0.5000 0.0000
5 H 0.5000 0.0000 0.0000

Calculated values
polymorph energy (0 for the lowest one)	3.15	eV per formula unit


19.
The following is a PBE-GGA calculation of a relaxed UTaRe crystal, from the Alexandria database.

abc: 3.1352 14.4949 4.7638
angles: 90.00 90.00 90.00
Atoms (fractional coordinates):
1 U 0.0000 0.2420 0.2500
2 U 0.0000 0.7580 0.7500
3 U 0.5000 0.2580 0.7500
4 U 0.5000 0.7420 0.2500
5 Ta 0.0000 0.0740 0.7500
6 Ta 0.0000 0.9260 0.2500
7 Ta 0.5000 0.4260 0.2500
8 Ta 0.5000 0.5740 0.7500
9 Re 0.0000 0.4226 0.7500
10 Re 0.0000 0.5774 0.2500
11 Re 0.5000 0.0774 0.2500
12 Re 0.5000 0.9226 0.7500

Calculated values
energy relative to the elements	-0.08	eV per atom


20.
The following is a PBE-GGA calculation of a relaxed Np2Ni15Ir2 crystal, from the Alexandria database.

abc: 6.2963 6.2963 6.2963
angles: 82.84 82.84 82.84
Atoms (fractional coordinates):
1 Np 0.1626 0.1626 0.1626
2 Np 0.8374 0.8374 0.8374
3 Ni 0.0000 0.5000 0.5000
4 Ni 0.1492 0.1492 0.6594
5 Ni 0.1492 0.6594 0.1492
6 Ni 0.2015 0.5000 0.7985
7 Ni 0.2015 0.7985 0.5000
8 Ni 0.3406 0.8508 0.8508
9 Ni 0.5000 0.0000 0.5000
10 Ni 0.5000 0.2015 0.7985
11 Ni 0.5000 0.5000 0.0000
12 Ni 0.5000 0.7985 0.2015
13 Ni 0.6594 0.1492 0.1492
14 Ni 0.7985 0.2015 0.5000
15 Ni 0.7985 0.5000 0.2015
16 Ni 0.8508 0.3406 0.8508
17 Ni 0.8508 0.8508 0.3406
18 Ir 0.3932 0.3932 0.3932
19 Ir 0.6068 0.6068 0.6068

Calculated values
energy relative to the elements	-0.08	eV per atom